[1]
Below is crystalline Pm2GePt2 at its relaxed geometry, with properties calculated at the PBE-GGA level.

Computed properties:
Its density is 11.2 Mg/m³. The space group is C2/m, No. 12. Its energy of formation is -1.05 eV per atom.

a b c (Å): 4.2960 5.7891 9.8868
angles (deg): 86.98 77.45 68.22
Fractional positions:
Pm 0.9185 0.2704 0.8925
Pt 0.3568 0.1716 0.1147
Pm 0.0815 0.7296 0.1075
Pt 0.6432 0.8284 0.8853
Ge 0.6356 0.0779 0.6508
Ge 0.3644 0.9221 0.3492
Pm 0.3327 0.6713 0.6632
Pm 0.6673 0.3287 0.3368
Pt 0.0813 0.2682 0.5693
Pt 0.9187 0.7318 0.4307

[2]
Below is crystalline Pm5GePt4 at its relaxed geometry, with properties calculated at the PBE-GGA level.

Computed properties:
Its density is 11.2 Mg/m³. The space group is P4/mmm, No. 123. Its energy of formation is -0.99 eV per atom.

a b c (Å): 3.5722 3.5722 18.3090
angles (deg): 90.00 90.00 90.00
Fractional positions:
Pm 0.5000 0.5000 0.6976
Pt 0.0000 0.0000 0.7959
Pt 0.0000 0.0000 0.5983
Pm 0.5000 0.5000 0.1058
Pt 0.0000 0.0000 0.2041
Ge 0.0000 0.0000 0.0000
Pm 0.5000 0.5000 0.5000
Pm 0.5000 0.5000 0.3024
Pt 0.0000 0.0000 0.4017
Pm 0.5000 0.5000 0.8942

[3]
Below is crystalline Pm2GePt3 at its relaxed geometry, with properties calculated at the PBE-GGA level.

Computed properties:
Its density is 12.1 Mg/m³. The space group is Fmmm, No. 69. Its energy of formation is -1.03 eV per atom.

a b c (Å): 5.8528 5.8528 8.8742
angles (deg): 112.11 112.11 81.88
Fractional positions:
Pm 0.2412 0.7588 0.0000
Pt 0.8275 0.8275 0.6549
Pt 0.6547 0.6547 0.8280
Pt 0.3453 0.3453 0.1720
Pm 0.7500 0.2500 0.5000
Ge 0.3340 0.3340 0.6679
Pt 0.8267 0.8267 0.1720
Pm 0.7588 0.2412 0.0000
Pt 0.1725 0.1725 0.3451
Pt 0.1733 0.1733 0.8280
Pm 0.2500 0.7500 0.5000
Ge 0.6660 0.6660 0.3321

[4]
Below is crystalline PmGe12Pt6 at its relaxed geometry, with properties calculated at the PBE-GGA level.

Computed properties:
Its density is 9.7 Mg/m³. The space group is R-3m, No. 166. Its energy of formation is -0.19 eV per atom.

a b c (Å): 7.2533 7.2533 7.2533
angles (deg): 95.61 95.61 95.61
Fractional positions:
Pm 0.0000 0.0000 0.0000
Ge 0.1538 0.4008 0.4008
Pt 0.6912 0.1912 0.1912
Ge 0.4008 0.4008 0.1538
Pt 0.3088 0.8088 0.8088
Pt 0.8088 0.8088 0.3088
Ge 0.8462 0.5992 0.5992
Ge 0.8585 0.1415 0.5000
Ge 0.8585 0.5000 0.1415
Ge 0.5992 0.5992 0.8462
Ge 0.1415 0.5000 0.8585
Pt 0.8088 0.3088 0.8088
Ge 0.5000 0.8585 0.1415
Pt 0.1912 0.1912 0.6912
Pt 0.1912 0.6912 0.1912
Ge 0.5992 0.8462 0.5992
Ge 0.5000 0.1415 0.8585
Ge 0.4008 0.1538 0.4008
Ge 0.1415 0.8585 0.5000

[5]
Below is crystalline Pm2GePt3 at its relaxed geometry, with properties calculated at the PBE-GGA level.

Computed properties:
Its density is 12.1 Mg/m³. The space group is Pmm2, No. 25. Its energy of formation is -1.04 eV per atom.

a b c (Å): 3.7681 4.3811 7.8703
angles (deg): 90.00 90.00 90.00
Fractional positions:
Ge 0.5000 0.5000 0.3266
Pm 0.0000 0.5000 0.9865
Pm 0.0000 0.0000 0.5164
Pt 0.5000 0.0000 0.1854
Pt 0.5000 0.5000 0.6417
Pt 0.5000 0.0000 0.8435

[6]
Below is crystalline Pm3Ge3Pt8 at its relaxed geometry, with properties calculated at the PBE-GGA level.

Computed properties:
Its density is 13.8 Mg/m³. The space group is C2/m, No. 12. Its energy of formation is -0.92 eV per atom.

a b c (Å): 4.4348 8.3879 8.4152
angles (deg): 63.77 74.72 74.67
Fractional positions:
Pt 0.8637 0.4286 0.8439
Ge 0.3281 0.3373 0.0064
Pt 0.4957 0.3226 0.6861
Pt 0.8817 0.8374 0.3992
Ge 0.6719 0.6627 0.9936
Pt 0.5043 0.6774 0.3139
Pt 0.6510 0.9564 0.7416
Pt 0.3490 0.0436 0.2584
Pt 0.1183 0.1626 0.6008
Ge 0.0000 0.5000 0.5000
Pm 0.0000 0.0000 0.0000
Pt 0.1363 0.5714 0.1561
Pm 0.7070 0.2618 0.3243
Pm 0.2930 0.7382 0.6757

[7]
Below is crystalline PmGePt2 at its relaxed geometry, with properties calculated at the PBE-GGA level.

Computed properties:
Its density is 12.9 Mg/m³. The space group is P4/mmm, No. 123. Its energy of formation is -0.66 eV per atom.

a b c (Å): 3.8447 4.5087 4.5087
angles (deg): 90.00 90.00 90.00
Fractional positions:
Pt 0.0000 0.0000 0.5000
Pt 0.0000 0.5000 0.0000
Pm 0.5000 0.5000 0.5000
Ge 0.5000 0.0000 0.0000

[8]
Below is crystalline Pm3Ge5Pt6 at its relaxed geometry, with properties calculated at the PBE-GGA level.

Computed properties:
Its density is 12.2 Mg/m³. The space group is Pmmn, No. 59. Its energy of formation is -0.91 eV per atom.

a b c (Å): 4.2004 9.8146 13.0024
angles (deg): 90.00 90.00 90.00
Fractional positions:
Pm 0.0000 0.2458 0.3316
Pm 0.5000 0.7428 0.5000
Pm 0.0000 0.2572 0.0000
Ge 0.5000 0.1484 0.8324
Ge 0.0000 0.8516 0.6676
Pt 0.5000 0.9927 0.3337
Pt 0.5000 0.0026 0.0000
Ge 0.0000 0.5370 0.1165
Pt 0.5000 0.4012 0.8059
Ge 0.5000 0.4630 0.3835
Pt 0.5000 0.5124 0.0000
Pm 0.5000 0.7542 0.8316
Pt 0.5000 0.9927 0.6663
Pt 0.0000 0.5988 0.6941
Pt 0.0000 0.0073 0.1663
Pm 0.0000 0.2458 0.6684
Ge 0.5000 0.1484 0.1676
Pt 0.0000 0.4876 0.5000
Ge 0.0000 0.8447 0.0000
Ge 0.5000 0.1553 0.5000
Pt 0.0000 0.9974 0.5000
Pt 0.0000 0.0073 0.8337
Pt 0.0000 0.5988 0.3059
Ge 0.0000 0.8516 0.3324
Ge 0.5000 0.4630 0.6165
Ge 0.0000 0.5370 0.8835
Pt 0.5000 0.4012 0.1941
Pm 0.5000 0.7542 0.1684

[9]
Below is crystalline Pm2GePt at its relaxed geometry, with properties calculated at the PBE-GGA level.

Computed properties:
Its density is 9.7 Mg/m³. The space group is P4/mmm, No. 123. Its energy of formation is -0.87 eV per atom.

a b c (Å): 3.5664 3.5664 7.4878
angles (deg): 90.00 90.00 90.00
Fractional positions:
Pm 0.0000 0.0000 0.2421
Ge 0.5000 0.5000 0.5000
Pt 0.5000 0.5000 0.0000
Pm 0.0000 0.0000 0.7579

[10]
Below is crystalline PmGe2Pt8 at its relaxed geometry, with properties calculated at the PBE-GGA level.

Computed properties:
Its density is 13.2 Mg/m³. The space group is P4/mmm, No. 123. Its energy of formation is -0.24 eV per atom.

a b c (Å): 5.4409 5.4409 7.8752
angles (deg): 90.00 90.00 90.00
Fractional positions:
Pt 0.7534 0.2466 0.2119
Ge 0.5000 0.0000 0.0000
Pt 0.2466 0.7534 0.2119
Pt 0.7534 0.2466 0.7881
Pt 0.2466 0.7534 0.7881
Pt 0.7534 0.7534 0.7881
Pt 0.2466 0.2466 0.2119
Pt 0.2466 0.2466 0.7881
Ge 0.0000 0.5000 0.0000
Pt 0.7534 0.7534 0.2119
Pm 0.5000 0.5000 0.5000

[11]
Below is crystalline PmGe4Pt12 at its relaxed geometry, with properties calculated at the PBE-GGA level.

Computed properties:
Its density is 14.6 Mg/m³. The space group is Im-3, No. 204. Its energy of formation is -0.22 eV per atom.

a b c (Å): 7.4353 7.4353 7.4353
angles (deg): 109.47 109.47 109.47
Fractional positions:
Pt 0.5018 0.1569 0.3449
Ge 0.0000 0.5000 0.0000
Pt 0.6551 0.8120 0.1569
Pm 0.0000 0.0000 0.0000
Pt 0.3449 0.5018 0.1569
Ge 0.5000 0.5000 0.5000
Pt 0.8431 0.3449 0.1880
Pt 0.1880 0.8431 0.3449
Pt 0.8431 0.6551 0.4982
Ge 0.5000 0.0000 0.0000
Pt 0.6551 0.4982 0.8431
Pt 0.4982 0.8431 0.6551
Pt 0.1569 0.6551 0.8120
Pt 0.1569 0.3449 0.5018
Pt 0.8120 0.1569 0.6551
Pt 0.3449 0.1880 0.8431
Ge 0.0000 0.0000 0.5000

[12]
Below is crystalline Pm2Ge2Pt5 at its relaxed geometry, with properties calculated at the PBE-GGA level.

Computed properties:
Its density is 13.8 Mg/m³. The space group is P4/mmm, No. 123. Its energy of formation is -0.91 eV per atom.

a b c (Å): 4.3196 4.3196 9.0852
angles (deg): 90.00 90.00 90.00
Fractional positions:
Pt 0.5000 0.5000 0.5000
Ge 0.5000 0.5000 0.8636
Pt 0.5000 0.0000 0.7280
Pt 0.0000 0.5000 0.7280
Ge 0.5000 0.5000 0.1364
Pt 0.5000 0.0000 0.2720
Pm 0.0000 0.0000 0.0000
Pm 0.0000 0.0000 0.5000
Pt 0.0000 0.5000 0.2720

[13]
Below is crystalline Pm2Ge3Pt at its relaxed geometry, with properties calculated at the PBE-GGA level.

Computed properties:
Its density is 8.8 Mg/m³. The space group is Fmmm, No. 69. Its energy of formation is -0.91 eV per atom.

a b c (Å): 5.9909 5.9909 8.5046
angles (deg): 110.46 110.46 90.42
Fractional positions:
Pt 0.3332 0.3332 0.6663
Ge 0.8317 0.3359 0.1676
Pm 0.2500 0.7500 0.5000
Ge 0.8320 0.8320 0.6640
Ge 0.1683 0.6641 0.8324
Ge 0.6641 0.1683 0.8324
Ge 0.3359 0.8317 0.1676
Pm 0.2475 0.2475 0.0000
Pm 0.7500 0.2500 0.5000
Pt 0.6668 0.6668 0.3337
Pm 0.7525 0.7525 0.0000
Ge 0.1680 0.1680 0.3360

[14]
Below is crystalline PmGe3Pt5 at its relaxed geometry, with properties calculated at the PBE-GGA level.

Computed properties:
Its density is 13.3 Mg/m³. The space group is Cmcm, No. 63. Its energy of formation is -0.64 eV per atom.

a b c (Å): 3.8000 6.7492 13.6118
angles (deg): 90.00 90.00 106.35
Fractional positions:
Pt 0.0000 0.0000 0.0000
Pt 0.4842 0.9684 0.3489
Ge 0.3688 0.7377 0.9720
Pt 0.1964 0.3928 0.5942
Pt 0.1964 0.3928 0.9058
Ge 0.3688 0.7377 0.5280
Ge 0.9027 0.8054 0.2500
Pm 0.1633 0.3266 0.2500
Pt 0.8036 0.6072 0.4058
Pt 0.4842 0.9684 0.1511
Pt 0.5158 0.0316 0.8489
Ge 0.6312 0.2623 0.0280
Ge 0.0973 0.1946 0.7500
Pt 0.0000 0.0000 0.5000
Pt 0.5158 0.0316 0.6511
Pt 0.8036 0.6072 0.0942
Pm 0.8367 0.6734 0.7500
Ge 0.6312 0.2623 0.4720

[15]
Below is crystalline Pm3Ge2Pt3 at its relaxed geometry, with properties calculated at the PBE-GGA level.

Computed properties:
Its density is 11.1 Mg/m³. The space group is Cmcm, No. 63. Its energy of formation is -1.06 eV per atom.

a b c (Å): 4.3796 5.7628 14.9083
angles (deg): 90.00 90.00 112.33
Fractional positions:
Pm 0.3782 0.7564 0.7500
Pt 0.3300 0.6601 0.2500
Ge 0.7885 0.5770 0.5982
Ge 0.7885 0.5770 0.9018
Pt 0.6181 0.2363 0.0451
Pm 0.9155 0.8310 0.1041
Pt 0.3819 0.7637 0.5451
Ge 0.2115 0.4230 0.4018
Pm 0.6218 0.2436 0.2500
Pm 0.9155 0.8310 0.3959
Pt 0.3819 0.7637 0.9549
Pt 0.6700 0.3399 0.7500
Pt 0.6181 0.2363 0.4549
Pm 0.0845 0.1690 0.6041
Ge 0.2115 0.4230 0.0982
Pm 0.0845 0.1690 0.8959

[16]
Below is crystalline Pm3Ge4Pt at its relaxed geometry, with properties calculated at the PBE-GGA level.

Computed properties:
Its density is 8.4 Mg/m³. The space group is C2/m, No. 12. Its energy of formation is -0.72 eV per atom.

a b c (Å): 4.6035 4.0799 10.7883
angles (deg): 112.27 102.32 90.00
Fractional positions:
Ge 0.5935 0.6870 0.1869
Pm 0.1580 0.3159 0.3159
Ge 0.7225 0.9442 0.4450
Pm 0.8420 0.6841 0.6841
Ge 0.2775 0.0558 0.5550
Ge 0.4065 0.3130 0.8131
Pm 0.0000 0.5000 0.0000
Pt 0.5000 0.0000 0.0000

[17]
Below is crystalline Pm2PuGe3Pt4 at its relaxed geometry, with properties calculated at the PBE-GGA level.

Computed properties:
Its density is 12.2 Mg/m³. The space group is P-4m2, No. 115. Its energy of formation is -0.86 eV per atom.

a b c (Å): 4.3265 4.3265 11.1250
angles (deg): 90.00 90.00 90.00
Fractional positions:
Ge 0.0000 0.0000 0.5000
Pm 0.5000 0.0000 0.2229
Pt 0.5000 0.0000 0.6593
Pm 0.0000 0.5000 0.7771
Ge 0.0000 0.5000 0.1209
Ge 0.5000 0.0000 0.8791
Pt 0.0000 0.5000 0.3407
Pt 0.0000 0.0000 0.0000
Pt 0.5000 0.5000 0.0000
Pu 0.5000 0.5000 0.5000

[18]
Below is crystalline Pm2PuGe4Pt3 at its relaxed geometry, with properties calculated at the PBE-GGA level.

Computed properties:
Its density is 11.1 Mg/m³. The space group is P-4m2, No. 115. Its energy of formation is -0.76 eV per atom.

a b c (Å): 4.2911 4.2911 11.4827
angles (deg): 90.00 90.00 90.00
Fractional positions:
Ge 0.5000 0.5000 0.0000
Pu 0.5000 0.5000 0.5000
Pt 0.0000 0.0000 0.5000
Pm 0.0000 0.5000 0.7700
Ge 0.5000 0.0000 0.6679
Pm 0.5000 0.0000 0.2300
Pt 0.0000 0.5000 0.1175
Ge 0.0000 0.0000 0.0000
Pt 0.5000 0.0000 0.8825
Ge 0.0000 0.5000 0.3321

[19]
Below is crystalline PmGe2Pt5Rh at its relaxed geometry, with properties calculated at the PBE-GGA level.

Computed properties:
Its density is 14.3 Mg/m³. The space group is P4/mmm, No. 123. Its energy of formation is -0.44 eV per atom.

a b c (Å): 4.0601 4.0601 9.6315
angles (deg): 90.00 90.00 90.00
Fractional positions:
Pt 0.5000 0.0000 0.7324
Ge 0.5000 0.5000 0.1228
Rh 0.0000 0.0000 0.0000
Ge 0.5000 0.5000 0.8772
Pt 0.0000 0.5000 0.7324
Pm 0.0000 0.0000 0.5000
Pt 0.5000 0.5000 0.5000
Pt 0.0000 0.5000 0.2676
Pt 0.5000 0.0000 0.2676

[20]
Below is crystalline Pm3GePt2Rh3 at its relaxed geometry, with properties calculated at the PBE-GGA level.

Computed properties:
Its density is 11.2 Mg/m³. The space group is P-62m, No. 189. Its energy of formation is -0.90 eV per atom.

a b c (Å): 3.7096 7.4741 7.4741
angles (deg): 120.00 90.00 90.00
Fractional positions:
Ge 0.0000 0.0000 0.0000
Rh 0.5000 0.2291 0.2291
Pt 0.5000 0.3333 0.6667
Rh 0.5000 0.7709 0.0000
Pm 0.0000 0.4047 0.0000
Pt 0.5000 0.6667 0.3333
Rh 0.5000 0.0000 0.7709
Pm 0.0000 0.5953 0.5953
Pm 0.0000 0.0000 0.4047